[1]
Here is crystalline Na2PrTh2Te6 at its relaxed geometry from Alexandria. Energies are from PBE-GGA.

Output
- space group = C2/m
- calculated volume (A^3/atom) = 36.39
- formation energy from raw total energies (eV per atom) = -1.203

a b c (Å): 7.778 7.778 8.079
angles (deg): 99.12 99.12 120.25
Atoms (fractional coordinates):
Na1 0.164 0.836 0.000
Na2 0.836 0.164 0.000
Pr1 0.000 0.000 0.500
Th1 0.333 0.667 0.500
Th2 0.667 0.333 0.500
Te1 0.081 0.419 0.741
Te2 0.262 0.262 0.258
Te3 0.419 0.081 0.741
Te4 0.581 0.919 0.259
Te5 0.738 0.738 0.742
Te6 0.919 0.581 0.259

[2]
Here is crystalline BiBW3 at its relaxed geometry from Alexandria. Energies are from PBE-GGA.

Output
- formation enthalpy at 0 K (eV/atom) = 0.76
- space group = Pm-3m
- calculated volume (A^3/atom) = 16.31

a b c (Å): 4.336 4.336 4.336
angles (deg): 90.00 90.00 90.00
Atoms (fractional coordinates):
Bi1 0.000 0.000 0.000
B1 0.500 0.500 0.500
W1 0.000 0.500 0.500
W2 0.500 0.000 0.500
W3 0.500 0.500 0.000

[3]
Here is crystalline SrTcN at its relaxed geometry from Alexandria. Energies are from PBE-GGA.

Output
- space group = P-3m1
- calculated volume (A^3/atom) = 19.31
- formation energy from raw total energies (eV per atom) = 0.087

a b c (Å): 3.456 3.456 22.394
angles (deg): 90.00 90.00 120.00
Atoms (fractional coordinates):
Sr1 0.333 0.667 0.274
Sr2 0.333 0.667 0.406
Sr3 0.667 0.333 0.594
Sr4 0.667 0.333 0.726
Tc1 0.333 0.667 0.859
Tc2 0.333 0.667 0.969
Tc3 0.667 0.333 0.031
Tc4 0.667 0.333 0.141
N1 0.333 0.667 0.154
N2 0.333 0.667 0.659
N3 0.667 0.333 0.341
N4 0.667 0.333 0.846

[4]
Here is crystalline Ac2NbAgO6 at its relaxed geometry from Alexandria. Energies are from PBE-GGA.

Output
- space group = P4mm
- calculated volume (A^3/atom) = 17.05
- formation energy from raw total energies (eV per atom) = -2.532

a b c (Å): 5.616 5.616 5.407
angles (deg): 90.00 90.00 90.00
Atoms (fractional coordinates):
Ac1 0.000 0.500 0.000
Ac2 0.500 0.000 0.000
Nb1 0.000 0.000 0.590
Ag1 0.500 0.500 0.500
O1 0.000 0.000 0.233
O2 0.229 0.229 0.727
O3 0.229 0.771 0.727
O4 0.500 0.500 0.104
O5 0.771 0.229 0.727
O6 0.771 0.771 0.727